Entry 1:
Density functional theory data (SCAN) for a crystal of LiY2Cl relaxed with PBEsol.

Lattice parameters (Å, degrees): 6.4714 6.4714 6.4714 143.55 143.55 52.49
With the nearest neighbours (Å) after each atom.
Fractional positions:
Li 0.0000 0.0000 0.0000  4 Y 2.86
Y 0.5000 0.5000 0.0000  4 Li 2.86
Y 0.7500 0.2500 0.5000  4 Cl 2.86
Cl 0.2500 0.7500 0.5000  4 Y 2.86

Output
VASP energy	-16.791	eV per atom
SG	I-4m2, No. 119
uncorrected formation energy	-6.4	kcal/mol of atoms
total magnetic moment	0.00	μB per cell


Entry 2:
Density functional theory data (SCAN) for a crystal of Ta2AuCl relaxed with PBEsol.

Lattice parameters (Å, degrees): 9.0471 9.0471 9.0471 18.67 18.67 18.67
With the nearest neighbours (Å) after each atom.
Fractional positions:
Ta 0.2463 0.2463 0.2463  3 Cl 2.72, 3 Au 2.87, 6 Ta 2.94
Ta 0.7537 0.7537 0.7537  3 Cl 2.72, 3 Au 2.87, 6 Ta 2.94
Au 0.0000 0.0000 0.0000  6 Ta 2.87, 6 Au 2.94
Cl 0.5000 0.5000 0.5000  6 Ta 2.72, 6 Cl 2.94

Output
VASP energy	-52.511	eV per atom
polymorph energy (0 for the lowest one)	5.53	kcal/mol of atoms
SG	R-3m, No. 166
uncorrected formation energy	1.5	kcal/mol of atoms
total magnetic moment	0.00	μB per cell


Entry 3:
Density functional theory data (SCAN) for a crystal of ScCd2 relaxed with PBEsol.

Lattice parameters (Å, degrees): 6.1350 6.1350 6.3639 108.89 108.89 34.11
With the nearest neighbours (Å) after each atom.
Fractional positions:
Sc 0.1680 0.1680 0.0929  8 Cd 2.94-3.22, 2 Sc 3.14
Sc 0.8320 0.8320 0.9071  8 Cd 2.94-3.22, 2 Sc 3.14
Cd 0.1587 0.1587 0.5812  6 Cd 2.97-3.22, 4 Sc 2.97-3.22
Cd 0.4935 0.4935 0.2430  4 Sc 2.94-3.11, 6 Cd 2.97-3.22
Cd 0.5065 0.5065 0.7570  4 Sc 2.94-3.11, 6 Cd 2.97-3.22
Cd 0.8413 0.8413 0.4188  6 Cd 2.97-3.22, 4 Sc 2.97-3.22

Output
VASP energy	-25.261	eV per atom
SG	C2/m, No. 12
total magnetic moment	0.00	μB per cell